Here is a relaxed structure of Cs2TaPdN from the Alexandria database. Energies are from GGA-PBE.

Cell lengths 7.036, 7.036, 3.659 Å; angles 90.00, 90.00, 90.00 degrees
Space group P4/mmm (No. 123)
Asymmetric unit:
Cs (0.000, 0.500, 0.000) x2
Ta (0.000, 0.000, 0.500) x1
Pd (0.500, 0.500, 0.000) x1
N (0.500, 0.500, 0.500) x1

Size of the total moment in μB per formula unit: 3.83
E_form (uncorrected) in eV/atom: 1.319